DFT (PBEsol) results for a relaxed GaBiSb2I crystal. Values from VASP.

Results
Raw formation energy: 718 meV/atom
E: -2.983 eV per atom

Cell and atoms, written as Quantum ESPRESSO input:
```
&SYSTEM
  ibrav = 0, nat = 5, ntyp = 4
/
ATOMIC_SPECIES
Ga 69.72 Ga.upf
Bi 208.98 Bi.upf
Sb 121.76 Sb.upf
I 126.90 I.upf
CELL_PARAMETERS angstrom
5.779 0.000 0.000
0.000 5.779 0.000
0.000 0.000 6.161
ATOMIC_POSITIONS crystal
Ga 0.000 0.000 0.000
Bi 0.500 0.500 0.500
Sb 0.000 0.500 0.500
Sb 0.500 0.000 0.500
I 0.500 0.500 0.000
```